(1)
A plane-wave DFT calculation with PBE was carried out for a relaxed RhBr2 crystal.

Summary:
* formation energy from raw total energies: 327.9 meV/atom
* magnetic moment: 1.57 μB/f.u.
* total energy: -3.2379 eV/atom
* space-group type: No. 189

a b c (Å): 6.9431 6.9431 6.3770
angles (deg): 90.00 90.00 120.00
Fractional positions:
Rh1 0.0000 0.0000 0.0000
Rh2 0.3333 0.6667 0.5000
Rh3 0.6667 0.3333 0.5000
Br1 0.0000 0.3090 0.5000
Br2 0.0000 0.6574 0.0000
Br3 0.3090 0.0000 0.5000
Br4 0.3426 0.3426 0.0000
Br5 0.6574 0.0000 0.0000
Br6 0.6910 0.6910 0.5000

=====

(2)
A plane-wave DFT calculation with PBE was carried out for a relaxed Th3Mn2Al9 crystal.

Summary:
* magnetic moment: 4.89 μB/f.u.
* total energy: -5.6585 eV/atom
* space-group type: No. 71
* energy of formation: -4.94 eV/f.u.

a b c (Å): 8.3650 8.3650 8.3650
angles (deg): 149.78 106.96 81.03
Fractional positions:
Th1 0.0000 0.0000 0.0000
Th2 0.3122 0.3122 0.0000
Th3 0.6878 0.6878 0.0000
Mn1 0.2960 0.5000 0.7960
Mn2 0.7040 0.5000 0.2040
Al1 0.0220 0.6597 0.3623
Al2 0.1577 0.8765 0.2812
Al3 0.2974 0.6597 0.6377
Al4 0.4047 0.1235 0.2812
Al5 0.5000 0.0000 0.5000
Al6 0.5953 0.8765 0.7188
Al7 0.7026 0.3403 0.3623
Al8 0.8423 0.1235 0.7188
Al9 0.9780 0.3403 0.6377

=====

(3)
A plane-wave DFT calculation with PBE was carried out for a relaxed Ho2Si6Ir9 crystal.

Summary:
* formation energy from raw total energies: -687.4 meV/atom
* magnetic moment: 0.00 μB/f.u.
* total energy: -7.8311 eV/atom
* space-group type: No. 191

a b c (Å): 5.5916 5.5916 10.8529
angles (deg): 90.00 90.00 120.00
Fractional positions:
Ho1 0.0000 0.0000 0.1945
Ho2 0.0000 0.0000 0.8055
Si1 0.3333 0.6667 0.1659
Si2 0.3333 0.6667 0.5000
Si3 0.3333 0.6667 0.8341
Si4 0.6667 0.3333 0.1659
Si5 0.6667 0.3333 0.5000
Si6 0.6667 0.3333 0.8341
Ir1 0.0000 0.5000 0.0000
Ir2 0.0000 0.5000 0.3321
Ir3 0.0000 0.5000 0.6679
Ir4 0.5000 0.0000 0.0000
Ir5 0.5000 0.0000 0.3321
Ir6 0.5000 0.0000 0.6679
Ir7 0.5000 0.5000 0.0000
Ir8 0.5000 0.5000 0.3321
Ir9 0.5000 0.5000 0.6679

=====

(4)
A plane-wave DFT calculation with PBE was carried out for a relaxed Nd3Cd2Ni crystal.

Summary:
* magnetic moment: 0.00 μB/f.u.
* total energy: -3.8772 eV/atom
* space-group type: No. 15
* energy of formation: -1.35 eV/f.u.

a b c (Å): 8.8723 8.8723 7.2938
angles (deg): 90.04 90.04 35.01
Fractional positions:
Nd1 0.0057 0.9943 0.7500
Nd2 0.3672 0.3673 0.0000
Nd3 0.3673 0.3672 0.5000
Nd4 0.6328 0.6327 0.0000
Nd5 0.6327 0.6328 0.5000
Nd6 0.9943 0.0057 0.2500
Cd1 0.1977 0.1987 0.2498
Cd2 0.1987 0.1977 0.7498
Cd3 0.8013 0.8023 0.2502
Cd4 0.8023 0.8013 0.7502
Ni1 0.4942 0.5058 0.2500
Ni2 0.5058 0.4942 0.7500

=====

(5)
A plane-wave DFT calculation with PBE was carried out for a relaxed Nd6P3Se2Br crystal.

Summary:
* formation energy from raw total energies: -1690.3 meV/atom
* magnetic moment: 0.00 μB/f.u.
* total energy: -6.1469 eV/atom
* space-group type: No. 12

a b c (Å): 9.5058 9.5058 8.5460
angles (deg): 104.87 104.87 25.33
Fractional positions:
Nd1 0.0050 0.0050 0.2236
Nd2 0.3230 0.3230 0.4261
Nd3 0.3371 0.3371 0.9053
Nd4 0.6629 0.6629 0.0947
Nd5 0.6770 0.6770 0.5739
Nd6 0.9950 0.9950 0.7764
P1 0.1649 0.1649 0.3331
P2 0.5000 0.5000 0.0000
P3 0.8351 0.8351 0.6669
Se1 0.1648 0.1648 0.8291
Se2 0.8352 0.8352 0.1709
Br1 0.5000 0.5000 0.5000

=====

(6)
A plane-wave DFT calculation with PBE was carried out for a relaxed RbBiS2 crystal.

Summary:
* formation energy from raw total energies: -774.8 meV/atom
* magnetic moment: 0.00 μB/f.u.
* total energy: -4.0507 eV/atom
* space-group type: No. 166

a b c (Å): 8.1121 8.1121 8.1121
angles (deg): 29.94 29.94 29.94
Fractional positions:
Rb1 0.0000 0.0000 0.0000
Bi1 0.5000 0.5000 0.5000
S1 0.2337 0.2337 0.2337
S2 0.7663 0.7663 0.7663

=====

(7)
A plane-wave DFT calculation with PBE was carried out for a relaxed Ta2AgRuC crystal.

Summary:
* magnetic moment: 0.00 μB/f.u.
* total energy: -8.7424 eV/atom
* space-group type: No. 123
* energy of formation: 1.34 eV/f.u.

a b c (Å): 4.2727 4.2727 4.1683
angles (deg): 90.00 90.00 90.00
Fractional positions:
Ta1 0.0000 0.5000 0.0000
Ta2 0.5000 0.0000 0.0000
Ag1 0.0000 0.0000 0.5000
Ru1 0.5000 0.5000 0.5000
C1 0.0000 0.0000 0.0000

=====

(8)
A plane-wave DFT calculation with PBE was carried out for a relaxed Eu2LuPd crystal.

Summary:
* magnetic moment: 14.66 μB/f.u.
* total energy: -7.5739 eV/atom
* space-group type: No. 166
* energy of formation: -0.03 eV/f.u.

a b c (Å): 11.0099 11.0099 11.0099
angles (deg): 19.16 19.16 19.16
Fractional positions:
Eu1 0.1039 0.1039 0.1039
Eu2 0.8961 0.8961 0.8961
Lu1 0.0000 0.0000 0.0000
Pd1 0.5000 0.5000 0.5000

=====

(9)
A plane-wave DFT calculation with PBE was carried out for a relaxed TeAsSe2F crystal.

Summary:
* formation energy from raw total energies: 318.8 meV/atom
* magnetic moment: 0.00 μB/f.u.
* total energy: -3.0075 eV/atom
* offset from the most stable computed form: 0.000 eV/atom
* space-group type: No. 123

a b c (Å): 5.2948 5.2948 3.9412
angles (deg): 90.00 90.00 90.00
Fractional positions:
Te1 0.0000 0.0000 0.0000
As1 0.5000 0.5000 0.0000
Se1 0.0000 0.5000 0.5000
Se2 0.5000 0.0000 0.5000
F1 0.5000 0.5000 0.5000

=====

(10)
A plane-wave DFT calculation with PBE was carried out for a relaxed Nd2Sm6Y3 crystal.

Summary:
* magnetic moment: 0.00 μB/f.u.
* total energy: -5.0317 eV/atom
* offset from the most stable computed form: 0.000 eV/atom
* space-group type: No. 12
* energy of formation: 1.89 eV/f.u.

a b c (Å): 6.2306 6.2306 11.8139
angles (deg): 95.10 95.10 120.08
Fractional positions:
Nd1 0.1665 0.8335 0.0000
Nd2 0.8335 0.1665 0.0000
Sm1 0.0835 0.4164 0.7487
Sm2 0.2504 0.2504 0.2511
Sm3 0.4164 0.0835 0.7487
Sm4 0.5836 0.9165 0.2513
Sm5 0.7496 0.7496 0.7489
Sm6 0.9165 0.5836 0.2513
Y1 0.0000 0.0000 0.5000
Y2 0.3345 0.6655 0.5000
Y3 0.6655 0.3345 0.5000

=====

(11)
A plane-wave DFT calculation with PBE was carried out for a relaxed CeDy2YEr5 crystal.

Summary:
* magnetic moment: 1.22 μB/f.u.
* total energy: -4.6134 eV/atom
* space-group type: No. 140
* energy of formation: 2.90 eV/f.u.

a b c (Å): 9.7573 9.7573 9.7573
angles (deg): 127.37 127.37 77.65
Fractional positions:
Ce1 0.2500 0.2500 0.0000
Ce2 0.7500 0.7500 0.0000
Dy1 0.1160 0.6160 0.7320
Dy2 0.3840 0.1160 0.5000
Dy3 0.6160 0.8840 0.5000
Dy4 0.8840 0.3840 0.2680
Y1 0.2500 0.7500 0.5000
Y2 0.7500 0.2500 0.5000
Er1 0.0000 0.0000 0.0000
Er2 0.0724 0.1538 0.5000
Er3 0.1538 0.6538 0.0815
Er4 0.3462 0.4276 0.5000
Er5 0.4276 0.9276 0.0815
Er6 0.5000 0.5000 0.0000
Er7 0.5724 0.0724 0.9185
Er8 0.6538 0.5724 0.5000
Er9 0.8462 0.3462 0.9185
Er10 0.9276 0.8462 0.5000

=====

(12)
A plane-wave DFT calculation with PBE was carried out for a relaxed Pr5NdDy4 crystal.

Summary:
* magnetic moment: 0.00 μB/f.u.
* total energy: -4.5634 eV/atom
* offset from the most stable computed form: 0.129 eV/atom
* space-group type: No. 12
* energy of formation: 1.44 eV/f.u.

a b c (Å): 9.3833 9.3833 10.6642
angles (deg): 96.18 96.18 22.22
Fractional positions:
Pr1 0.0000 0.0000 0.0000
Pr2 0.3099 0.3099 0.9002
Pr3 0.3582 0.3582 0.2698
Pr4 0.6418 0.6418 0.7302
Pr5 0.6901 0.6901 0.0998
Nd1 0.0000 0.0000 0.5000
Dy1 0.1829 0.1829 0.4121
Dy2 0.4538 0.4538 0.7385
Dy3 0.5462 0.5462 0.2615
Dy4 0.8171 0.8171 0.5879